Version P
{"formula": "BeMoW", "functional": "PBE", "state": "relaxed", "dos_ef_per_ev_cell": 1.26, "space_group": "Imm2", "mass_density_g_cm3": 11.2, "lattice_angstrom": [[4.677, 0.001, 0.000], [2.147, 4.155, 0.000], [-2.886, -2.943, 2.211]], "species": ["W", "Be", "Mo"], "frac_coords": [[0.662, 0.662, 0.000], [0.001, 0.001, 0.000], [0.337, 0.337, 0.000]]}



Version Q
{"formula": "BeMoW", "functional": "PBE", "state": "relaxed", "dos_ef_per_ev_cell": 1.32, "space_group": "P3m1", "mass_density_g_cm3": 11.2, "lattice_angstrom": [[4.323, 0.000, 0.000], [-2.161, 3.743, 0.000], [0.000, 0.000, 2.655]], "species": ["Be", "Mo", "W"], "frac_coords": [[0.000, 0.000, 0.000], [0.667, 0.333, 0.342], [0.333, 0.667, 0.658]]}



Version R
{"formula": "BeMoW", "functional": "PBE", "state": "relaxed", "dos_ef_per_ev_cell": 1.74, "space_group": "I4mm", "mass_density_g_cm3": 11.7, "lattice_angstrom": [[-3.947, -1.330, -4.420], [-4.746, -3.505, -1.440], [3.171, 3.742, 3.582]], "species": ["Mo", "Be", "W"], "frac_coords": [[0.350, 0.350, 0.000], [0.000, 0.000, 0.000], [0.649, 0.649, 0.000]]}



The winner here is version Q, beating the second structure by 4.6 kJ/mol of atoms.



Version P
{"formula": "YBe2Mo2", "functional": "PBE", "state": "relaxed", "dos_ef_per_ev_cell": 8.16, "space_group": "P4/mbm", "mass_density_g_cm3": 6.7, "lattice_angstrom": [[6.715, 0.000, 0.000], [0.000, 6.715, 0.000], [0.000, 0.000, 3.282]], "species": ["Be", "Be", "Be", "Be", "Mo", "Mo", "Mo", "Mo", "Y", "Y"], "frac_coords": [[0.610, 0.110, 0.000], [0.110, 0.390, 0.000], [0.390, 0.890, 0.000], [0.890, 0.610, 0.000], [0.332, 0.168, 0.500], [0.832, 0.332, 0.500], [0.168, 0.668, 0.500], [0.668, 0.832, 0.500], [0.000, 0.000, 0.000], [0.500, 0.500, 0.000]]}



Version Q
{"formula": "YBe2Mo2", "functional": "PBE", "state": "relaxed", "dos_ef_per_ev_cell": 4.67, "space_group": "I4/mmm", "mass_density_g_cm3": 6.3, "lattice_angstrom": [[3.751, 0.000, 0.000], [0.000, 3.751, 0.000], [1.875, 1.875, 5.602]], "species": ["Mo", "Mo", "Y", "Be", "Be"], "frac_coords": [[0.250, 0.750, 0.500], [0.750, 0.250, 0.500], [0.000, 0.000, 0.000], [0.400, 0.400, 0.201], [0.600, 0.600, 0.799]]}



The winner here is version Q, beating the second structure by 20.9 kJ/mol of atoms.



Version P
{"formula": "BeZn3Mo", "functional": "PBE", "state": "relaxed", "dos_ef_per_ev_cell": 3.74, "space_group": "Pm-3m", "mass_density_g_cm3": 4.4, "lattice_angstrom": [[-3.851, -1.811, -2.323], [2.831, -1.215, -3.745], [0.817, -4.331, 2.022]], "species": ["Mo", "Zn", "Zn", "Zn", "Be"], "frac_coords": [[0.000, 0.000, 0.000], [0.000, 0.000, 0.500], [0.500, 0.000, 0.000], [0.000, 0.500, 0.000], [0.500, 0.500, 0.500]]}



Version Q
{"formula": "BeZn3Mo", "functional": "PBE", "state": "relaxed", "dos_ef_per_ev_cell": 3.06, "space_group": "Pm-3m", "mass_density_g_cm3": 6.9, "lattice_angstrom": [[4.170, 0.000, 0.000], [0.000, 4.170, 0.000], [0.000, 0.000, 4.170]], "species": ["Zn", "Zn", "Zn", "Mo", "Be"], "frac_coords": [[0.500, 0.000, 0.000], [0.000, 0.000, 0.500], [0.000, 0.500, 0.000], [0.500, 0.500, 0.500], [0.000, 0.000, 0.000]]}



The winner here is version Q, beating the second structure by 78.2 kJ/mol of atoms.



Version P
{"formula": "ZrBeMo", "functional": "PBE", "state": "relaxed", "dos_ef_per_ev_cell": 1.61, "space_group": "I4mm", "mass_density_g_cm3": 6.9, "lattice_angstrom": [[-1.293, 4.692, -0.519], [-4.579, 1.580, 0.701], [3.415, -2.754, 2.171]], "species": ["Mo", "Be", "Zr"], "frac_coords": [[0.359, 0.359, 0.000], [0.976, 0.976, 0.000], [0.665, 0.665, 0.000]]}



Version Q
{"formula": "ZrBeMo", "functional": "PBE", "state": "relaxed", "dos_ef_per_ev_cell": 4.93, "space_group": "Imma", "mass_density_g_cm3": 6.8, "lattice_angstrom": [[5.141, -0.098, 0.022], [-2.593, 4.440, -0.022], [2.486, 1.459, 4.257]], "species": ["Be", "Be", "Mo", "Mo", "Zr", "Zr"], "frac_coords": [[0.000, 0.500, 0.500], [0.500, 0.500, 0.000], [0.000, 0.500, 0.000], [0.500, 0.000, 0.000], [0.750, 0.879, 0.371], [0.250, 0.121, 0.629]]}



Version R
{"formula": "ZrBeMo", "functional": "PBE", "state": "relaxed", "dos_ef_per_ev_cell": 2.08, "space_group": "I4mm", "mass_density_g_cm3": 7.0, "lattice_angstrom": [[-6.057, -1.926, 0.051], [-4.427, -3.126, -3.320], [5.784, 0.844, 2.495]], "species": ["Mo", "Be", "Zr"], "frac_coords": [[0.358, 0.358, 0.000], [0.992, 0.992, 0.000], [0.651, 0.651, 0.000]]}



Version S
{"formula": "ZrBeMo", "functional": "PBE", "state": "relaxed", "dos_ef_per_ev_cell": 2.66, "space_group": "P3m1", "mass_density_g_cm3": 6.7, "lattice_angstrom": [[4.579, 0.000, 0.000], [-2.289, 3.965, 0.000], [0.000, 0.000, 2.674]], "species": ["Mo", "Be", "Zr"], "frac_coords": [[0.333, 0.667, 0.295], [0.000, 0.000, 0.053], [0.667, 0.333, 0.652]]}



The winner here is version Q, beating the second structure by 12.1 kJ/mol of atoms.



Version P
{"formula": "BeN", "functional": "PBE", "state": "relaxed", "dos_ef_per_ev_cell": 4.28, "space_group": "Fm-3m", "mass_density_g_cm3": 2.9, "lattice_angstrom": [[3.730, 0.000, 0.000], [0.000, 3.730, 0.000], [0.000, 0.000, 3.730]], "species": ["N", "N", "N", "N", "Be", "Be", "Be", "Be"], "frac_coords": [[0.000, 0.500, 0.000], [0.500, 0.500, 0.500], [0.500, 0.000, 0.000], [0.000, 0.000, 0.500], [0.500, 0.500, 0.000], [0.500, 0.000, 0.500], [0.000, 0.000, 0.000], [0.000, 0.500, 0.500]]}



Version Q
{"formula": "BeN", "functional": "PBE", "state": "relaxed", "dos_ef_per_ev_cell": 0.00, "space_group": "P4_2/mnm", "mass_density_g_cm3": 2.6, "lattice_angstrom": [[4.472, 0.000, 0.000], [0.000, 4.472, 0.000], [0.000, 0.000, 2.926]], "species": ["N", "N", "N", "N", "Be", "Be", "Be", "Be"], "frac_coords": [[0.624, 0.624, 0.000], [0.376, 0.376, 0.000], [0.124, 0.876, 0.500], [0.876, 0.124, 0.500], [0.254, 0.746, 0.000], [0.746, 0.254, 0.000], [0.754, 0.754, 0.500], [0.246, 0.246, 0.500]]}



Version R
{"formula": "BeN", "functional": "PBE", "state": "relaxed", "dos_ef_per_ev_cell": 7.59, "space_group": "Pm-3n", "mass_density_g_cm3": 2.0, "lattice_angstrom": [[4.831, 0.000, 0.000], [0.000, 4.831, 0.000], [0.000, 0.000, 4.831]], "species": ["N", "N", "N", "N", "N", "N", "Be", "Be", "Be", "Be", "Be", "Be"], "frac_coords": [[0.750, 0.500, 0.000], [0.500, 0.000, 0.250], [0.500, 0.000, 0.750], [0.250, 0.500, 0.000], [0.000, 0.750, 0.500], [0.000, 0.250, 0.500], [0.000, 0.500, 0.250], [0.750, 0.000, 0.500], [0.000, 0.500, 0.750], [0.500, 0.250, 0.000], [0.500, 0.750, 0.000], [0.250, 0.000, 0.500]]}



Version S
{"formula": "BeN", "functional": "PBE", "state": "relaxed", "dos_ef_per_ev_cell": 1.69, "space_group": "P6_3mc", "mass_density_g_cm3": 2.5, "lattice_angstrom": [[-2.075, 1.346, -0.901], [1.462, -1.430, -1.657], [-2.941, -3.975, 0.837]], "species": ["Be", "Be", "N", "N"], "frac_coords": [[0.333, 0.667, 0.376], [0.667, 0.333, 0.876], [0.333, 0.667, 0.706], [0.667, 0.333, 0.206]]}



The winner here is version Q, beating the second structure by 42.8 kJ/mol of atoms.



Version P
{"formula": "NaBeSeN2", "functional": "PBE", "state": "relaxed", "dos_ef_per_ev_cell": 2.89, "space_group": "P4/mmm", "mass_density_g_cm3": 3.6, "lattice_angstrom": [[3.688, 0.000, 0.000], [0.000, 3.688, 0.000], [0.000, 0.000, 4.723]], "species": ["Na", "Se", "N", "N", "Be"], "frac_coords": [[0.500, 0.500, 0.500], [0.000, 0.000, 0.500], [0.000, 0.500, 0.000], [0.500, 0.000, 0.000], [0.000, 0.000, 0.000]]}



Version Q
{"formula": "NaBeSeN2", "functional": "PBE", "state": "relaxed", "dos_ef_per_ev_cell": 1.95, "space_group": "P4/mmm", "mass_density_g_cm3": 2.3, "lattice_angstrom": [[-3.300, -2.366, 1.056], [0.515, -2.274, -3.488], [3.451, -3.552, 2.826]], "species": ["Se", "Be", "N", "N", "Na"], "frac_coords": [[0.000, 0.000, 0.500], [0.500, 0.500, 0.500], [0.000, 0.500, 0.000], [0.500, 0.000, 0.000], [0.000, 0.000, 0.000]]}



The winner here is version P, beating the second structure by 116.8 kJ/mol of atoms.